VASP calculation (PBE-GGA) on a relaxed structure of MgIn.

Calculated values
density of states at the Fermi level	0.27	states/eV/atom
crystal system	orthorhombic
theoretical density	4.8	g/cm³
final energy	-2.214	eV/atom
space group	Pbcm

extended XYZ file:
```
24
Lattice="-0.273 4.702 3.818 -9.463 -0.626 0.093 0.498 -6.359 7.866" Properties=species:S:1:pos:R:3 pbc="T T T"
In -9.106 0.182 6.344
Mg -2.946 -3.237 6.181
Mg -7.837 -1.509 3.704
Mg -6.789 -4.403 4.935
In -2.046 -3.624 9.129
Mg -0.605 2.597 3.979
In -1.910 -5.975 7.220
In -4.306 -0.382 7.382
In -7.055 -1.010 0.739
In -7.191 1.340 2.648
Mg -8.633 -4.881 7.798
In -0.132 -2.465 5.433
Mg -4.978 -2.279 9.670
In -0.919 0.134 2.176
Mg -6.292 0.953 5.596
In -3.932 2.294 4.114
In -5.305 -4.578 7.663
In -4.932 -1.902 4.395
In -8.319 -2.418 9.601
Mg -2.312 -0.232 4.933
Mg -2.176 -2.583 3.024
Mg -1.401 -0.775 8.074
Mg -6.926 -2.052 6.844
Mg -4.259 -0.004 2.107
```



VASP calculation (PBE-GGA) on a relaxed structure of MgIn.

Calculated values
density of states at the Fermi level	0.94	states/eV/atom
crystal system	cubic
theoretical density	3.1	g/cm³
final energy	-1.652	eV/atom
space group	F-43m

extended XYZ file:
```
2
Lattice="4.720 0.000 0.000 2.360 4.088 0.000 2.360 1.363 3.854" Properties=species:S:1:pos:R:3 pbc="T T T"
In 0.000 0.000 0.000
Mg 2.360 1.363 0.964
```



VASP calculation (PBE-GGA) on a relaxed structure of MgIn.

Calculated values
density of states at the Fermi level	0.52	states/eV/atom
crystal system	trigonal
theoretical density	4.7	g/cm³
final energy	-2.171	eV/atom
space group	P-3m1

extended XYZ file:
```
4
Lattice="3.355 0.000 0.000 -1.677 2.905 0.000 0.000 0.000 10.139" Properties=species:S:1:pos:R:3 pbc="T T T"
Mg 0.000 0.000 5.110
In 0.000 0.000 10.050
In 0.000 1.937 2.624
Mg 0.000 1.937 7.564
```



VASP calculation (PBE-GGA) on a relaxed structure of Mg17In2.

Calculated values
density of states at the Fermi level	0.32	states/eV/atom
crystal system	trigonal
theoretical density	2.2	g/cm³
final energy	-1.626	eV/atom
space group	R-3m

extended XYZ file:
```
19
Lattice="-4.061 5.795 3.545 -4.927 2.024 -5.854 -6.476 -3.985 2.196" Properties=species:S:1:pos:R:3 pbc="T T T"
Mg -5.422 0.102 -3.280
Mg -8.158 -0.360 -1.839
Mg -7.737 2.317 -2.952
Mg -5.704 -0.858 2.627
Mg -3.238 -1.993 1.098
In -4.561 1.131 -0.033
Mg -6.957 4.507 -1.167
Mg -4.338 4.589 0.540
Mg -4.833 2.668 3.113
Mg -14.026 3.477 -0.103
Mg -7.306 4.194 1.725
Mg -8.508 -0.673 1.054
Mg -1.438 0.357 -0.011
In -10.903 2.703 -0.080
Mg -2.464 1.012 -2.927
Mg -4.650 3.230 -2.849
Mg -7.727 1.516 2.839
Mg -2.031 2.898 1.772
Mg -5.981 -2.064 -0.378
```



VASP calculation (PBE-GGA) on a relaxed structure of MgIn5.

Calculated values
density of states at the Fermi level	0.45	states/eV/atom
crystal system	orthorhombic
theoretical density	6.3	g/cm³
final energy	-2.541	eV/atom
space group	Amm2

extended XYZ file:
```
6
Lattice="3.266 0.000 0.000 -1.633 8.680 0.000 0.000 0.000 5.536" Properties=species:S:1:pos:R:3 pbc="T T T"
Mg 0.000 1.912 2.768
In 0.000 5.826 0.000
In 0.000 7.744 2.768
In 0.000 0.047 0.000
In 1.633 2.878 0.000
In 1.633 4.739 2.768
```



VASP calculation (PBE-GGA) on a relaxed structure of MgIn5.

Calculated values
density of states at the Fermi level	0.56	states/eV/atom
crystal system	hexagonal
theoretical density	5.6	g/cm³
final energy	-2.389	eV/atom
space group	P6/mmm

extended XYZ file:
```
6
Lattice="2.964 -5.134 0.000 2.964 5.134 0.000 0.000 0.000 5.779" Properties=species:S:1:pos:R:3 pbc="T T T"
In 1.482 2.567 2.890
In 2.964 0.000 2.890
Mg 0.000 0.000 0.000
In 2.964 -1.711 0.000
In 1.482 -2.567 2.890
In 2.964 1.711 0.000
```



VASP calculation (PBE-GGA) on a relaxed structure of MgIn7.

Calculated values
density of states at the Fermi level	0.27	states/eV/atom
crystal system	cubic
theoretical density	6.6	g/cm³
final energy	-2.612	eV/atom
space group	Fm-3m

extended XYZ file:
```
8
Lattice="-0.899 -6.592 0.165 0.307 -3.542 -5.626 5.139 -4.088 -1.082" Properties=species:S:1:pos:R:3 pbc="T T T"
In 2.120 -5.340 -0.458
In 2.274 -7.111 -3.271
Mg 0.000 0.000 0.000
In -0.296 -5.067 -2.730
In 0.154 -1.771 -2.813
In 2.723 -3.815 -3.354
In 2.570 -2.044 -0.541
In -0.450 -3.296 0.083
```



VASP calculation (PBE-GGA) on a relaxed structure of Mg3In.

Calculated values
density of states at the Fermi level	0.41	states/eV/atom
crystal system	hexagonal
theoretical density	3.4	g/cm³
final energy	-1.958	eV/atom
space group	P6_3/mmc

extended XYZ file:
```
8
Lattice="-0.353 -4.968 -1.155 -1.048 -1.360 6.172 -5.985 -0.106 2.287" Properties=species:S:1:pos:R:3 pbc="T T T"
In -4.953 -4.704 4.774
Mg -1.431 -3.970 0.537
Mg -2.948 -2.412 5.619
Mg -5.955 -2.465 6.768
Mg -5.428 -1.782 3.666
Mg -4.438 -4.023 1.686
In -2.433 -1.731 2.531
Mg -1.958 -4.653 3.638
```



VASP calculation (PBE-GGA) on a relaxed structure of Mg3In.

Calculated values
density of states at the Fermi level	0.34	states/eV/atom
crystal system	orthorhombic
theoretical density	3.4	g/cm³
final energy	-1.933	eV/atom
space group	Cmmm

extended XYZ file:
```
4
Lattice="-0.315 -5.299 -1.463 4.796 2.200 -1.575 1.338 -0.869 2.860" Properties=species:S:1:pos:R:3 pbc="T T T"
Mg 3.067 0.665 0.643
In 0.000 0.000 0.000
Mg 2.241 -1.549 -1.519
Mg 0.512 -3.084 0.698
```



VASP calculation (PBE-GGA) on a relaxed structure of Mg3In.

Calculated values
density of states at the Fermi level	0.40	states/eV/atom
crystal system	trigonal
theoretical density	3.1	g/cm³
final energy	-1.757	eV/atom
space group	R-3m

extended XYZ file:
```
16
Lattice="-6.687 -3.242 3.485 -1.154 -8.101 -0.640 0.986 -4.591 6.732" Properties=species:S:1:pos:R:3 pbc="T T T"
Mg -5.559 -8.142 5.490
In -2.210 -5.137 3.087
Mg -1.295 -7.792 4.086
Mg -2.299 -12.868 6.794
Mg -4.277 -7.268 2.824
In -4.645 -10.798 6.490
Mg -6.992 -12.043 4.808
Mg -5.683 -9.896 9.317
Mg -1.172 -6.038 0.260
Mg -2.577 -8.666 6.752
Mg -4.556 -3.066 2.782
Mg -3.409 -10.030 3.888
In -5.636 -13.102 7.874
In -1.218 -2.832 1.702
Mg 0.137 -3.891 4.768
Mg -3.446 -5.904 5.689
```



VASP calculation (PBE-GGA) on a relaxed structure of MgIn4.

Calculated values
density of states at the Fermi level	0.74	states/eV/atom
crystal system	cubic
theoretical density	5.4	g/cm³
final energy	-2.369	eV/atom
space group	Im-3m

extended XYZ file:
```
5
Lattice="5.338 -1.763 1.285 -0.025 5.728 -0.661 -3.587 -1.457 4.273" Properties=species:S:1:pos:R:3 pbc="T T T"
In -0.013 2.864 -0.331
Mg 0.000 0.000 0.000
In 0.863 1.254 2.449
In -1.793 -0.729 2.137
In 2.669 -0.881 0.643
```



VASP calculation (PBE-GGA) on a relaxed structure of Mg7In.

Calculated values
density of states at the Fermi level	0.67	states/eV/atom
crystal system	cubic
theoretical density	2.6	g/cm³
space group	Fm-3m
E above lowest polymorph	23	meV/atom

extended XYZ file:
```
8
Lattice="-1.950 -4.063 -4.531 4.166 -4.041 -2.676 -0.358 -6.256 1.257" Properties=species:S:1:pos:R:3 pbc="T T T"
Mg -0.975 -2.032 -2.265
Mg 0.928 -7.180 -2.975
Mg 2.083 -2.020 -1.338
Mg 1.108 -4.052 -3.604
Mg -0.179 -3.128 0.629
In 0.000 0.000 0.000
Mg -1.154 -5.160 -1.637
Mg 1.904 -5.148 -0.710
```